# BeRe4P (SCAN, single point on PBEsol structure)
data_BeRe4P
_chemical_formula_sum 'Be4 Re16 P4'
_symmetry_space_group_name_H-M 'F -4 3 m'
_symmetry_Int_Tables_number 216
_symmetry_space_group_name_Hall 'F -4 2 3'
_cell_length_a 7.223
_cell_length_b 7.223
_cell_length_c 7.223
_cell_angle_alpha 90.00
_cell_angle_beta 90.00
_cell_angle_gamma 90.00
loop_
_atom_site_label
_atom_site_type_symbol
_atom_site_fract_x
_atom_site_fract_y
_atom_site_fract_z
Be1 Be 0.000 0.000 0.000
Re1 Re 0.125 0.125 0.375
P1 P 0.250 0.250 0.750
# VASP energy: -48.927 eV/atom
# energy relative to the elements: 0.930 eV per atom

# BePRh (SCAN, single point on PBEsol structure)
data_BePRh
_chemical_formula_sum 'Be4 P4 Rh4'
_symmetry_space_group_name_H-M 'F -4 3 m'
_symmetry_Int_Tables_number 216
_symmetry_space_group_name_Hall 'F -4 2 3'
_cell_length_a 5.336
_cell_length_b 5.336
_cell_length_c 5.336
_cell_angle_alpha 90.00
_cell_angle_beta 90.00
_cell_angle_gamma 90.00
loop_
_atom_site_label
_atom_site_type_symbol
_atom_site_fract_x
_atom_site_fract_y
_atom_site_fract_z
Be1 Be 0.000 0.000 0.000
P1 P 0.250 0.250 0.250
Rh1 Rh 0.000 0.000 0.500
# VASP energy: -16.521 eV/atom
# energy relative to the elements: -0.347 eV per atom

# ZrBePRh2 (SCAN, single point on PBEsol structure)
data_ZrBePRh2
_chemical_formula_sum 'Zr1 Be1 P1 Rh2'
_symmetry_space_group_name_H-M 'P 4/m m m'
_symmetry_Int_Tables_number 123
_symmetry_space_group_name_Hall '-P 4 2'
_cell_length_a 4.435
_cell_length_b 4.435
_cell_length_c 3.920
_cell_angle_alpha 90.00
_cell_angle_beta 90.00
_cell_angle_gamma 90.00
loop_
_atom_site_label
_atom_site_type_symbol
_atom_site_fract_x
_atom_site_fract_y
_atom_site_fract_z
Zr1 Zr 0.000 0.000 0.000
Be1 Be 0.500 0.500 0.000
P1 P 0.500 0.500 0.500
Rh1 Rh 0.000 0.500 0.500
# VASP energy: -22.799 eV/atom
# energy relative to the elements: -0.200 eV per atom